A plane-wave DFT calculation with GGA-PBE was carried out for a geometry-optimized Sr4Hg5Bi6 structure.

DFT formation energy = -0.4391 eV/atom

Cell: 4.8901 23.0418 18.2913 Å, 90.00 90.00 90.00°
With the nearest neighbours (Å) after each atom.
Space group Cmc2_1 (No. 36)
Inequivalent atoms, fractional coordinates:
Sr (0.0000, 0.0192, 0.0000)  7 Bi 3.49-3.63, 1 Hg 3.62
Sr (0.0000, 0.0446, 0.2769)  3 Hg 3.38-3.49, 4 Bi 3.53-3.64
Sr (0.0000, 0.1612, 0.7965)  5 Bi 3.43-3.64, 5 Hg 3.44-3.76
Sr (0.0000, 0.1664, 0.4727)  3 Hg 3.34-3.53, 5 Bi 3.37-3.58
Hg (0.0000, 0.1362, 0.1325)  4 Bi 2.98-3.07
Hg (0.0000, 0.3054, 0.4221)  3 Bi 3.01-3.05, 1 Sr 3.34
Hg (0.0000, 0.3115, 0.8363)  3 Bi 2.98-3.00
Hg (0.0000, 0.3216, 0.1305)  4 Bi 3.07-3.16, 1 Hg 3.32
Hg (0.0000, 0.4469, 0.2197)  4 Bi 2.93-3.06
Bi (0.0000, 0.0912, 0.6309)  4 Hg 3.06-3.16, 2 Sr 3.37-3.43
Bi (0.0000, 0.2253, 0.0143)  4 Hg 2.98-3.07
Bi (0.0000, 0.2267, 0.2545)  4 Hg 3.00-3.15
Bi (0.0000, 0.4263, 0.9113)  1 Hg 2.98, 1 Bi 3.33
Bi (0.0000, 0.4314, 0.3787)  2 Hg 2.93-3.01
Bi (0.0000, 0.4440, 0.6301)  3 Hg 3.00-3.07